Density functional theory data (GGA-PBE) for a relaxed Cs2KBiPd crystal.

Cell lengths 6.779, 6.779, 5.400 Å; angles 90.00, 90.00, 90.00 degrees
Positions (direct):
1 Pd 0.000 0.000 0.000
2 K 0.500 0.500 0.500
3 Cs 0.000 0.500 0.000
4 Cs 0.500 0.000 0.000
5 Bi 0.000 0.000 0.500

space group = P4/mmm, No. 123
raw total energy = -12.46 eV for the cell shown
Fermi-level density of states = 0.769 states/eV/atom
energy of formation = -0.116 eV per atom